{
  "formula": "HfSi2Se",
  "functional": "PBE",
  "state": "relaxed",
  "lattice_angstrom": [[7.4274, 0.0000, 0.0000], [0.0000, 7.4274, 0.0000], [3.7137, 3.7137, 2.7036]],
  "species": ["Se", "Si", "Si", "Se", "Si", "Hf", "Hf", "Si"],
  "frac_coords": [[0.5000, 0.5000, 0.0000], [0.1268, 0.6250, 0.2500], [0.3750, 0.3768, 0.7500], [0.2500, 0.7500, 0.5000], [0.6232, 0.1250, 0.2500], [0.0000, 0.0000, 0.0000], [0.7500, 0.2500, 0.5000], [0.8750, 0.8732, 0.7500]],
  "dft_energy_ev_per_atom": -5.948
}


{
  "formula": "HfSi2Se6",
  "functional": "PBE",
  "state": "relaxed",
  "lattice_angstrom": [[6.5464, 0.0000, 0.0000], [3.2732, 5.6694, 0.0000], [3.2732, 1.8898, 7.0417]],
  "species": ["Se", "Se", "Hf", "Se", "Se", "Se", "Si", "Se", "Si"],
  "frac_coords": [[0.7254, 0.4230, 0.7547], [0.4230, 0.0968, 0.7547], [0.3335, 0.3335, 0.9996], [0.0968, 0.7254, 0.7547], [0.2605, 0.5596, 0.2464], [0.5596, 0.9335, 0.2464], [0.6073, 0.6073, 0.1781], [0.9335, 0.2605, 0.2464], [0.7260, 0.7260, 0.8221]],
  "dft_energy_ev_per_atom": -5.121
}


{
  "formula": "Hf2SiSe",
  "functional": "PBE",
  "state": "relaxed",
  "lattice_angstrom": [[3.7141, 0.0000, 0.0000], [1.8571, 3.2165, 0.0000], [1.8571, 1.0722, 6.6212]],
  "species": ["Se", "Hf", "Hf", "Si"],
  "frac_coords": [[0.4990, 0.4990, 0.5030], [0.0740, 0.0740, 0.7779], [0.2594, 0.2594, 0.2218], [0.6676, 0.6676, 0.9973]],
  "e_above_lowest_polymorph_mev_per_atom": 0
}


{
  "formula": "Hf3SiSe3",
  "functional": "PBE",
  "state": "relaxed",
  "lattice_angstrom": [[-2.7787, 3.7391, 8.0044], [1.2350, -9.1109, 1.1129], [7.9803, 3.8994, -2.6231]],
  "species": ["Hf", "Se", "Hf", "Hf", "Hf", "Si", "Si", "Hf", "Se", "Hf", "Hf", "Hf", "Se", "Se", "Hf", "Se", "Se", "Hf", "Si", "Se", "Se", "Hf", "Se", "Se", "Hf", "Se", "Si", "Se"],
  "frac_coords": [[0.2500, 0.2441, 0.2559], [0.2449, 0.9949, 0.9898], [0.7559, 0.7500, 0.2441], [0.7559, 0.0059, 0.0119], [0.9941, 0.2441, 0.4881], [0.5000, 0.2500, 0.5000], [0.7500, 0.5000, 0.0000], [0.5059, 0.4941, 0.7500], [0.2449, 0.2500, 0.7551], [0.9941, 0.7500, 0.0059], [0.7441, 0.2559, 0.7500], [0.5059, 0.0119, 0.2559], [0.0051, 0.7551, 0.5102], [0.7500, 0.7551, 0.7449], [0.9881, 0.4941, 0.2441], [0.2551, 0.5102, 0.5051], [0.0051, 0.2500, 0.9949], [0.2500, 0.0059, 0.4941], [0.0000, 0.0000, 0.2500], [0.4949, 0.5051, 0.2500], [0.4949, 0.9898, 0.7449], [0.7441, 0.4881, 0.4941], [0.4898, 0.7449, 0.9949], [0.0102, 0.5051, 0.7551], [0.5119, 0.2559, 0.0059], [0.7500, 0.9949, 0.5051], [0.7500, 0.2500, 0.2500], [0.2551, 0.7449, 0.2500]],
  "dft_energy_ev_per_atom": -7.654
}


Let's list spin magnetization in order: 0.00, 0.00, 0.00, 0.00 μB/f.u..
Let's list N(E_F) in order: 2.42, 4.88, 0.54, 1.61 states/eV/f.u..